[1]
An optimized crystal structure of TiTcN2. Source: Alexandria via LeMat-Bulk, functional PBE.

Raw formation energy   0.15 eV/f.u.
Polymorph energy (0 for the lowest one)   0.652 eV/atom
Final energy   -8.691 eV/atom

```
data_TiTcN2
_chemical_formula_sum 'Ti1 Tc1 N2'
_cell_length_a 6.557
_cell_length_b 6.557
_cell_length_c 6.557
_cell_angle_alpha 26.04
_cell_angle_beta 26.04
_cell_angle_gamma 26.04
_space_group_name_H-M_alt 'P 1'
_space_group_IT_number 1
_space_group_name_Hall 'P 1'
loop_
_atom_site_label
_atom_site_type_symbol
_atom_site_fract_x
_atom_site_fract_y
_atom_site_fract_z
Ti1 Ti 0.000 0.000 0.000
Tc1 Tc 0.500 0.500 0.500
N1 N 0.103 0.103 0.103
N2 N 0.897 0.897 0.897
```

[2]
An optimized crystal structure of ScTi2CdGe. Source: Alexandria via LeMat-Bulk, functional PBE.

Final energy   -4.536 eV/atom
DFT formation energy   4.97 eV per formula unit

```
data_ScTi2CdGe
_chemical_formula_sum 'Sc1 Ti2 Cd1 Ge1'
_cell_length_a 5.086
_cell_length_b 5.086
_cell_length_c 4.860
_cell_angle_alpha 90.00
_cell_angle_beta 90.00
_cell_angle_gamma 90.00
_space_group_name_H-M_alt 'P 1'
_space_group_IT_number 1
_space_group_name_Hall 'P 1'
loop_
_atom_site_label
_atom_site_type_symbol
_atom_site_fract_x
_atom_site_fract_y
_atom_site_fract_z
Sc1 Sc 0.000 0.000 0.000
Ti1 Ti 0.000 0.500 0.500
Ti2 Ti 0.500 0.000 0.500
Cd1 Cd 0.500 0.500 0.500
Ge1 Ge 0.500 0.500 0.000
```

> Which formula does entry 2 have?

ScTi2CdGe

Copy entry 2 word for word.
An optimized crystal structure of ScTi2CdGe. Source: Alexandria via LeMat-Bulk, functional PBE.

Final energy   -4.536 eV/atom
DFT formation energy   4.97 eV per formula unit

```
data_ScTi2CdGe
_chemical_formula_sum 'Sc1 Ti2 Cd1 Ge1'
_cell_length_a 5.086
_cell_length_b 5.086
_cell_length_c 4.860
_cell_angle_alpha 90.00
_cell_angle_beta 90.00
_cell_angle_gamma 90.00
_space_group_name_H-M_alt 'P 1'
_space_group_IT_number 1
_space_group_name_Hall 'P 1'
loop_
_atom_site_label
_atom_site_type_symbol
_atom_site_fract_x
_atom_site_fract_y
_atom_site_fract_z
Sc1 Sc 0.000 0.000 0.000
Ti1 Ti 0.000 0.500 0.500
Ti2 Ti 0.500 0.000 0.500
Cd1 Cd 0.500 0.500 0.500
Ge1 Ge 0.500 0.500 0.000
```